Below is Er4InPbC2 after structural relaxation, with properties calculated at the PBE-GGA level.

Magnetization (μB/atom): 0.00
SG: P-6m2, No. 187
Calculated total energy (eV/atom): -5.8689

Geometry as POSCAR:
```
Er4InPbC2
1.0
3.583 0.000 0.000
-1.791 3.103 0.000
0.000 0.000 16.069
In Pb C Er
1 1 2 4
Cartesian
0.000 0.000 0.000
1.791 1.034 8.035
0.000 2.068 4.029
0.000 2.068 12.040
0.000 0.000 10.748
1.791 1.034 13.402
0.000 0.000 5.321
1.791 1.034 2.667
```

=====

Below is Er2In2Pt3C after structural relaxation, with properties calculated at the PBE-GGA level.

Magnetization (μB/atom): 0.00
SG: P3m1, No. 156
Calculated total energy (eV/atom): -5.7151

Geometry as POSCAR:
```
Er2In2Pt3C
1.0
4.383 0.000 0.000
-2.192 3.796 0.000
0.000 0.000 9.783
Pt Er C In
3 2 1 2
Cartesian
2.192 1.265 5.750
0.000 0.000 3.847
2.192 1.265 8.621
0.000 0.000 7.255
2.192 1.265 2.075
0.000 0.000 1.864
0.000 2.531 4.838
0.000 2.531 9.775
```

=====

Below is Er4InC2S after structural relaxation, with properties calculated at the PBE-GGA level.

Magnetization (μB/atom): 0.02
SG: P-6m2, No. 187
Calculated total energy (eV/atom): -6.2992

Geometry as POSCAR:
```
Er4InC2S
1.0
3.618 0.000 0.000
-1.809 3.134 0.000
0.000 0.000 14.447
S Er In C
1 4 1 2
Cartesian
0.000 2.089 7.223
0.000 0.000 5.360
0.000 0.000 9.087
0.000 2.089 2.716
0.000 2.089 11.730
0.000 0.000 0.000
1.809 1.045 4.017
1.809 1.045 10.429
```

=====

Below is Er4InSnC2 after structural relaxation, with properties calculated at the PBE-GGA level.

Magnetization (μB/atom): 0.00
SG: P-6m2, No. 187
Calculated total energy (eV/atom): -5.9308

Geometry as POSCAR:
```
Er4InSnC2
1.0
-1.822 2.654 -1.548
-1.121 -1.362 3.106
8.860 10.679 7.879
Er In Sn C
4 1 1 2
Cartesian
1.449 1.746 1.289
1.571 3.504 4.157
4.579 7.129 6.832
7.411 8.932 6.591
4.430 5.339 3.940
-1.355 -0.023 1.555
0.591 3.942 1.942
5.092 9.367 5.944
```

=====

Below is Er4TlInC2 after structural relaxation, with properties calculated at the PBE-GGA level.

Magnetization (μB/atom): 0.02
SG: P-6m2, No. 187
Calculated total energy (eV/atom): -5.6390

Geometry as POSCAR:
```
Er4TlInC2
1.0
3.572 0.000 0.000
-1.786 3.093 0.000
0.000 0.000 16.190
Er C Tl In
4 2 1 1
Cartesian
0.000 0.000 5.380
1.786 1.031 2.711
1.786 1.031 13.480
0.000 0.000 10.810
0.000 2.062 4.049
0.000 2.062 12.142
1.786 1.031 8.095
0.000 0.000 0.000
```

=====

Below is ErTmInC after structural relaxation, with properties calculated at the PBE-GGA level.

Magnetization (μB/atom): 0.01
SG: P-6m2, No. 187
Calculated total energy (eV/atom): -5.6830

Geometry as POSCAR:
```
ErTmInC
1.0
-2.555 -2.303 -0.905
2.749 -1.081 1.980
-8.158 3.785 13.393
C In Er Tm
2 2 2 2
Cartesian
-2.034 0.944 3.340
-6.123 2.841 10.053
0.981 -1.489 1.018
-4.866 -0.003 6.753
-4.468 1.040 9.965
-1.727 -0.232 5.465
-2.151 -1.263 2.297
-7.580 1.256 11.210
```

=====

Below is ErTmInC after structural relaxation, with properties calculated at the PBE-GGA level.

Magnetization (μB/atom): 0.01
SG: P-3m1, No. 164
Calculated total energy (eV/atom): -5.6830

Geometry as POSCAR:
```
ErTmInC
1.0
-3.370 -0.313 -1.081
1.633 -2.751 1.545
-5.114 5.090 14.473
In C Tm Er
2 2 2 2
Cartesian
-5.542 2.696 10.661
-1.309 -0.670 4.277
0.000 0.000 0.000
-2.557 2.545 7.237
-4.730 2.735 13.959
-2.120 -0.710 0.978
-3.836 0.998 5.834
-3.014 1.027 9.103
```

=====

Below is ErTmInC after structural relaxation, with properties calculated at the PBE-GGA level.

Magnetization (μB/atom): 0.01
SG: P6_3mc, No. 186
Calculated total energy (eV/atom): -5.6829

Geometry as POSCAR:
```
ErTmInC
1.0
3.556 0.000 0.000
-1.778 3.080 0.000
0.000 0.000 16.129
Tm In Er C
2 2 2 2
Cartesian
1.778 1.027 1.330
0.000 2.053 9.395
0.000 2.053 4.023
1.778 1.027 12.088
1.778 1.027 6.738
0.000 2.053 14.802
0.000 0.000 0.006
0.000 0.000 8.071
```

=====

Below is K2Er3LuC2 after structural relaxation, with properties calculated at the PBE-GGA level.

Magnetization (μB/atom): 0.01
SG: P3m1, No. 156
Calculated total energy (eV/atom): -4.9230

Geometry as POSCAR:
```
K2Er3LuC2
1.0
3.580 0.000 0.000
-1.790 3.100 0.000
0.000 0.000 20.427
K Lu Er C
2 1 3 2
Cartesian
0.000 0.000 5.108
1.790 1.033 15.340
0.000 0.000 19.121
1.790 1.033 1.299
0.000 0.000 11.538
1.790 1.033 8.902
0.000 2.067 20.394
0.000 2.067 10.220
```

=====

Below is KEr4PbC2 after structural relaxation, with properties calculated at the PBE-GGA level.

Magnetization (μB/atom): 0.00
SG: P-6m2, No. 187
Calculated total energy (eV/atom): -5.4867

Geometry as POSCAR:
```
KEr4PbC2
1.0
-0.645 2.883 2.072
-1.897 -0.507 -3.027
-12.313 -9.437 9.298
C Er Pb K
2 4 1 1
Cartesian
-4.912 -2.008 1.264
-10.360 -6.183 5.379
-3.651 -0.231 2.327
-4.360 -3.342 3.293
-10.786 -5.700 7.715
-7.952 -6.095 6.005
-7.219 -2.965 5.021
0.000 0.000 0.000
```

=====

Below is KEr4SnC2 after structural relaxation, with properties calculated at the PBE-GGA level.

Magnetization (μB/atom): 0.00
SG: P-6m2, No. 187
Calculated total energy (eV/atom): -5.5544

Geometry as POSCAR:
```
KEr4SnC2
1.0
-3.423 1.097 -0.258
1.867 -0.793 -2.978
-5.563 -17.112 1.066
Sn Er C K
1 4 2 1
Cartesian
-1.659 0.467 -1.165
-0.685 -2.588 -1.920
-4.671 -14.850 -1.157
-3.255 -4.439 -0.859
-5.628 -11.739 -0.405
-1.215 -3.738 0.233
-4.348 -13.375 0.833
-2.678 -8.719 -1.539
```

=====

Below is KErTmC after structural relaxation, with properties calculated at the PBE-GGA level.

Magnetization (μB/atom): 0.03
SG: P-6m2, No. 187
Calculated total energy (eV/atom): -4.9059

Geometry as POSCAR:
```
KErTmC
1.0
3.583 0.000 0.000
-1.792 3.103 0.000
0.000 0.000 20.421
Tm K Er C
2 2 2 2
Cartesian
1.792 1.034 6.419
1.792 1.034 14.003
0.000 2.069 10.211
1.792 1.034 0.000
0.000 2.069 3.796
0.000 2.069 16.625
0.000 0.000 15.304
0.000 0.000 5.118
```

=====

Below is KErTmC after structural relaxation, with properties calculated at the PBE-GGA level.

Magnetization (μB/atom): 0.03
SG: P-3m1, No. 164
Calculated total energy (eV/atom): -4.9058

Geometry as POSCAR:
```
KErTmC
1.0
-0.148 -2.097 2.900
0.558 -1.446 -3.229
20.134 2.096 2.540
C K Tm Er
2 2 2 2
Cartesian
10.067 1.048 1.270
0.000 0.000 0.000
5.134 -1.355 1.494
15.410 -0.092 0.717
9.101 -0.749 -0.079
11.443 -0.698 2.290
1.624 -1.527 -1.022
18.920 0.081 3.233
```

=====

Below is LaErMo2C3 after structural relaxation, with properties calculated at the PBE-GGA level.

Magnetization (μB/atom): 0.00
SG: Cm, No. 8
Calculated total energy (eV/atom): -8.6364

Geometry as POSCAR:
```
LaErMo2C3
1.0
5.707 -1.720 0.000
5.707 1.720 0.000
-1.632 0.000 5.606
Er C La Mo
1 3 1 2
Cartesian
6.484 0.000 1.787
6.983 0.000 4.261
2.708 0.000 1.303
0.016 0.000 0.088
3.377 0.000 3.762
0.297 0.000 4.959
9.479 0.000 0.656
```

=====

Below is ErLuPbC after structural relaxation, with properties calculated at the PBE-GGA level.

Magnetization (μB/atom): 0.00
SG: P6_3mc, No. 186
Calculated total energy (eV/atom): -6.0437

Geometry as POSCAR:
```
ErLuPbC
1.0
3.579 0.000 0.000
-1.789 3.099 0.000
0.000 0.000 15.796
Lu Er Pb C
2 2 2 2
Cartesian
0.000 2.066 6.606
1.789 1.033 14.504
0.000 2.066 1.296
1.789 1.033 9.194
0.000 2.066 11.863
1.789 1.033 3.965
0.000 0.000 7.879
0.000 0.000 15.777
```

=====

Below is ErLuPbC after structural relaxation, with properties calculated at the PBE-GGA level.

Magnetization (μB/atom): 0.00
SG: P-3m1, No. 164
Calculated total energy (eV/atom): -6.0442

Geometry as POSCAR:
```
ErLuPbC
1.0
3.581 0.000 0.000
-1.790 3.101 0.000
0.000 0.000 15.812
Er Pb Lu C
2 2 2 2
Cartesian
0.000 2.067 1.312
1.790 1.034 14.500
0.000 2.067 11.830
1.790 1.034 3.983
0.000 2.067 6.626
1.790 1.034 9.186
0.000 0.000 7.906
0.000 0.000 0.000
```

=====

Below is ErLuPbC after structural relaxation, with properties calculated at the PBE-GGA level.

Magnetization (μB/atom): 0.00
SG: P-6m2, No. 187
Calculated total energy (eV/atom): -6.0435

Geometry as POSCAR:
```
ErLuPbC
1.0
3.581 0.000 0.000
-1.791 3.102 0.000
0.000 0.000 15.815
Er Lu C Pb
2 2 2 2
Cartesian
0.000 2.068 5.248
0.000 2.068 10.568
1.791 1.034 2.656
1.791 1.034 13.159
0.000 0.000 3.927
0.000 0.000 11.889
0.000 2.068 0.000
1.791 1.034 7.908
```

=====

Below is ErLu3Pb2C2 after structural relaxation, with properties calculated at the PBE-GGA level.

Magnetization (μB/atom): 0.00
SG: P3m1, No. 156
Calculated total energy (eV/atom): -6.0467

Geometry as POSCAR:
```
ErLu3Pb2C2
1.0
3.568 0.000 0.000
-1.784 3.090 0.000
0.000 0.000 15.729
Pb Lu C Er
2 3 2 1
Cartesian
0.000 2.060 3.954
0.000 0.000 11.792
0.000 0.000 6.586
0.000 2.060 9.144
0.000 2.060 14.437
1.784 1.030 7.867
1.784 1.030 15.707
0.000 0.000 1.295
```

=====

Below is ErLuCS after structural relaxation, with properties calculated at the PBE-GGA level.

Magnetization (μB/atom): 0.00
SG: P-3m1, No. 164
Calculated total energy (eV/atom): -6.9172

Geometry as POSCAR:
```
ErLuCS
1.0
3.636 0.000 0.000
-1.818 3.148 0.000
0.000 0.000 12.647
C Lu Er S
2 2 2 2
Cartesian
0.000 0.000 0.000
0.000 0.000 6.323
1.818 1.049 5.039
0.000 2.099 7.608
1.818 1.049 1.328
0.000 2.099 11.319
0.000 2.099 3.206
1.818 1.049 9.441
```

=====

Below is ErLu3C2S2 after structural relaxation, with properties calculated at the PBE-GGA level.

Magnetization (μB/atom): 0.00
SG: P3m1, No. 156
Calculated total energy (eV/atom): -6.9213

Geometry as POSCAR:
```
ErLu3C2S2
1.0
3.623 0.000 0.000
-1.812 3.138 0.000
0.000 0.000 12.595
S C Er Lu
2 2 1 3
Cartesian
0.000 0.000 3.152
0.000 2.092 9.418
1.812 1.046 6.293
1.812 1.046 0.022
0.000 0.000 11.295
0.000 2.092 5.005
0.000 0.000 7.585
0.000 2.092 1.314
```

=====

Below is ErLuCS after structural relaxation, with properties calculated at the PBE-GGA level.

Magnetization (μB/atom): 0.00
SG: P6_3mc, No. 186
Calculated total energy (eV/atom): -6.9174

Geometry as POSCAR:
```
ErLuCS
1.0
3.636 0.000 0.000
-1.818 3.149 0.000
0.000 0.000 12.649
Lu S Er C
2 2 2 2
Cartesian
1.818 1.050 1.310
0.000 2.099 7.635
0.000 2.099 3.139
1.818 1.050 9.464
0.000 2.099 11.346
1.818 1.050 5.021
0.000 0.000 6.341
0.000 0.000 0.016
```

=====

Below is Er3LuC2S2 after structural relaxation, with properties calculated at the PBE-GGA level.

Magnetization (μB/atom): 0.00
SG: P3m1, No. 156
Calculated total energy (eV/atom): -6.9138

Geometry as POSCAR:
```
Er3LuC2S2
1.0
3.651 0.000 0.000
-1.826 3.162 0.000
0.000 0.000 12.703
Er S Lu C
3 2 1 2
Cartesian
1.826 1.054 11.401
1.826 1.054 7.672
0.000 0.000 5.027
0.000 0.000 9.530
1.826 1.054 3.150
0.000 0.000 1.312
0.000 2.108 6.348
0.000 2.108 0.019
```

=====

Below is ErLuCS after structural relaxation, with properties calculated at the PBE-GGA level.

Magnetization (μB/atom): 0.00
SG: P-6m2, No. 187
Calculated total energy (eV/atom): -6.9171

Geometry as POSCAR:
```
ErLuCS
1.0
-1.358 -0.482 3.338
2.359 -2.405 -1.367
9.597 6.647 4.864
Er S Lu C
2 2 2 2
Cartesian
2.542 -0.779 0.922
9.295 3.898 4.344
5.918 1.560 2.633
-0.119 -1.123 1.770
3.286 1.236 3.495
6.073 3.166 4.908
7.167 4.964 3.632
2.430 1.683 1.232
```

=====

Below is Er3LuC2Se2 after structural relaxation, with properties calculated at the PBE-GGA level.

Magnetization (μB/atom): 0.00
SG: P3m1, No. 156
Calculated total energy (eV/atom): -6.6362

Geometry as POSCAR:
```
Er3LuC2Se2
1.0
3.709 0.000 0.000
-1.854 3.212 0.000
0.000 0.000 13.087
Lu Se Er C
1 2 3 2
Cartesian
0.000 2.141 1.301
0.000 2.141 9.821
1.854 1.071 3.236
1.854 1.071 7.851
0.000 2.141 5.228
1.854 1.071 11.802
0.000 0.000 0.025
0.000 0.000 6.539
```

=====

Below is ErLuCSe after structural relaxation, with properties calculated at the PBE-GGA level.

Magnetization (μB/atom): 0.00
SG: P-3m1, No. 164
Calculated total energy (eV/atom): -6.6364

Geometry as POSCAR:
```
ErLuCSe
1.0
3.694 0.000 0.000
-1.847 3.199 0.000
0.000 0.000 13.038
C Se Lu Er
2 2 2 2
Cartesian
0.000 0.000 0.000
0.000 0.000 6.519
0.000 2.133 9.734
1.847 1.066 3.303
0.000 2.133 5.247
1.847 1.066 7.791
1.847 1.066 11.722
0.000 2.133 1.316
```